# ZrAsBr2Cl

ZrAsBr2Cl after structural relaxation (PBEsol, Alexandria via LeMat-Bulk).

Results
Symmetry: P4/mmm (123)
Volume: 27.91 Å³/atom
VASP energy: -22.135 eV for the cell shown
Raw formation energy: -2.2 eV per formula unit

a b c (Å): 5.104 5.104 5.356
angles (deg): 90.00 90.00 90.00
Sites, in units of the cell vectors:
As (0.000, 0.000, 0.500)
Br (0.000, 0.500, 0.000)
Br (0.500, 0.000, 0.000)
Zr (0.000, 0.000, 0.000)
Cl (0.500, 0.500, 0.500)

# YCr2Pt

YCr2Pt after structural relaxation (PBEsol, Alexandria via LeMat-Bulk).

Results
DFT formation energy: -0.005 eV/atom
Symmetry: P4mm (99)
Volume: 15.96 Å³/atom
VASP energy: -34.291 eV for the cell shown

a b c (Å): 3.015 3.015 7.022
angles (deg): 90.00 90.00 90.00
Sites, in units of the cell vectors:
Cr (0.000, 0.000, 0.069)
Cr (0.500, 0.500, 0.218)
Pt (0.000, 0.000, 0.460)
Y (0.500, 0.500, 0.753)

# In2TeCl

In2TeCl after structural relaxation (PBEsol, Alexandria via LeMat-Bulk).

Results
Symmetry: P4/mmm (123)
Volume: 29.70 Å³/atom
VASP energy: -13.240 eV for the cell shown
Raw formation energy: -1.7 eV per formula unit

a b c (Å): 4.344 4.344 6.296
angles (deg): 90.00 90.00 90.00
Sites, in units of the cell vectors:
Te (0.000, 0.000, 0.000)
In (0.000, 0.000, 0.500)
In (0.500, 0.500, 0.000)
Cl (0.500, 0.500, 0.500)

# TaAlFe

TaAlFe after structural relaxation (PBEsol, Alexandria via LeMat-Bulk).

Results
DFT formation energy: 0.032 eV/atom
Symmetry: F-43m (216)
Volume: 15.63 Å³/atom
VASP energy: -25.511 eV for the cell shown

a b c (Å): 4.047 4.047 4.047
angles (deg): 60.00 60.00 60.00
Sites, in units of the cell vectors:
Al (0.500, 0.500, 0.500)
Fe (0.250, 0.250, 0.250)
Ta (0.000, 0.000, 0.000)

# ZnIr2Rh

ZnIr2Rh after structural relaxation (PBEsol, Alexandria via LeMat-Bulk).

Results
DFT formation energy: -0.083 eV/atom
Symmetry: R3m (160)
Volume: 13.72 Å³/atom
VASP energy: -29.700 eV for the cell shown

a b c (Å): 2.709 2.709 8.779
angles (deg): 81.13 81.13 60.00
Sites, in units of the cell vectors:
Ir (0.999, 0.999, 0.002)
Ir (0.750, 0.750, 0.749)
Rh (0.501, 0.501, 0.497)
Zn (0.249, 0.249, 0.253)

# YFeSe

YFeSe after structural relaxation (PBEsol, Alexandria via LeMat-Bulk).

Results
Symmetry: F-43m (216)
Volume: 19.96 Å³/atom
VASP energy: -20.343 eV for the cell shown
Raw formation energy: -0.7 eV per formula unit

a b c (Å): 4.392 4.392 4.392
angles (deg): 60.00 60.00 60.00
Sites, in units of the cell vectors:
Fe (0.500, 0.500, 0.500)
Se (0.250, 0.250, 0.250)
Y (0.000, 0.000, 0.000)

# Li2H12C3SN6O7

Li2H12C3SN6O7 after structural relaxation (PBEsol, Alexandria via LeMat-Bulk).

Results
Symmetry: C2/c (15)
Volume: 9.06 Å³/atom
VASP energy: -385.492 eV for the cell shown

a b c (Å): 7.917 9.217 9.662
angles (deg): 118.49 111.76 90.00
Sites, in units of the cell vectors:
Li (0.330, 0.619, 0.860)
Li (0.170, 0.759, 0.140)
Li (0.670, 0.381, 0.140)
Li (0.830, 0.241, 0.860)
H (0.389, 0.633, 0.384)
H (0.111, 0.249, 0.616)
H (0.611, 0.367, 0.616)
H (0.889, 0.751, 0.384)
H (0.499, 0.741, 0.616)
H (0.001, 0.124, 0.384)
H (0.501, 0.259, 0.384)
H (0.999, 0.876, 0.616)
H (0.106, 0.438, 0.237)
H (0.394, 0.201, 0.763)
H (0.894, 0.562, 0.763)
H (0.606, 0.799, 0.237)
H (0.995, 0.423, 0.358)
H (0.505, 0.065, 0.642)
H (0.005, 0.577, 0.642)
H (0.495, 0.935, 0.358)
H (0.212, 0.076, 0.219)
H (0.288, 0.857, 0.781)
H (0.788, 0.924, 0.781)
H (0.712, 0.143, 0.219)
H (0.194, 0.189, 0.108)
H (0.306, 0.081, 0.892)
H (0.806, 0.811, 0.892)
H (0.694, 0.919, 0.108)
C (0.251, 0.579, 0.504)
C (0.249, 0.075, 0.496)
C (0.749, 0.421, 0.496)
C (0.751, 0.925, 0.504)
C (0.250, 0.954, 0.000)
C (0.750, 0.046, 0.000)
S (0.250, 0.414, 0.000)
S (0.750, 0.586, 0.000)
N (0.391, 0.657, 0.501)
N (0.109, 0.156, 0.499)
N (0.609, 0.343, 0.499)
N (0.891, 0.844, 0.501)
N (0.116, 0.457, 0.354)
N (0.384, 0.103, 0.646)
N (0.884, 0.543, 0.646)
N (0.616, 0.897, 0.354)
N (0.239, 0.095, 0.132)
N (0.261, 0.964, 0.868)
N (0.761, 0.905, 0.868)
N (0.739, 0.036, 0.132)
O (0.405, 0.323, 0.007)
O (0.095, 0.316, 0.993)
O (0.595, 0.677, 0.993)
O (0.905, 0.684, 0.007)
O (0.188, 0.429, 0.843)
O (0.312, 0.586, 0.157)
O (0.812, 0.571, 0.157)
O (0.688, 0.414, 0.843)
O (0.245, 0.620, 0.649)
O (0.255, 0.972, 0.351)
O (0.755, 0.380, 0.351)
O (0.745, 0.028, 0.649)
O (0.250, 0.816, 0.000)
O (0.750, 0.184, 0.000)

# Ba2Cu

Ba2Cu after structural relaxation (PBEsol, Alexandria via LeMat-Bulk).

Results
DFT formation energy: 0.099 eV/atom
Symmetry: Pnnm (58)
Volume: 44.09 Å³/atom
VASP energy: -16.671 eV for the cell shown

a b c (Å): 4.655 7.407 7.674
angles (deg): 90.00 90.00 90.00
Sites, in units of the cell vectors:
Ba (0.000, 0.267, 0.672)
Ba (0.000, 0.733, 0.328)
Ba (0.500, 0.767, 0.828)
Ba (0.500, 0.233, 0.172)
Cu (0.000, 0.000, 0.000)
Cu (0.500, 0.500, 0.500)

# Cr3Re

Cr3Re after structural relaxation (PBEsol, Alexandria via LeMat-Bulk).

Results
DFT formation energy: 0.039 eV/atom
Symmetry: P4/mmm (123)
Volume: 12.12 Å³/atom
VASP energy: -43.901 eV for the cell shown

a b c (Å): 2.905 4.086 4.087
angles (deg): 90.00 90.00 90.00
Sites, in units of the cell vectors:
Re (0.000, 0.583, 0.500)
Cr (0.000, 0.083, 0.000)
Cr (0.500, 0.584, 0.000)
Cr (0.500, 0.083, 0.500)

# LaZnSi2Ge

LaZnSi2Ge after structural relaxation (PBEsol, Alexandria via LeMat-Bulk).

Results
Symmetry: P4/mmm (123)
Volume: 21.97 Å³/atom
VASP energy: -22.431 eV for the cell shown
Raw formation energy: 0.9 eV per formula unit

a b c (Å): 4.718 4.825 4.825
angles (deg): 90.00 90.00 90.00
Sites, in units of the cell vectors:
Ge (0.000, 0.000, 0.000)
Si (0.000, 0.000, 0.500)
Si (0.000, 0.500, 0.000)
Zn (0.500, 0.000, 0.000)
La (0.500, 0.500, 0.500)

# BRu3N

BRu3N after structural relaxation (PBEsol, Alexandria via LeMat-Bulk).

Results
Symmetry: Pm-3m (221)
Volume: 11.64 Å³/atom
VASP energy: -42.593 eV for the cell shown
Raw formation energy: 3.5 eV per formula unit

a b c (Å): 3.876 3.876 3.876
angles (deg): 90.00 90.00 90.00
Sites, in units of the cell vectors:
Ru (0.000, 0.500, 0.000)
Ru (0.000, 0.000, 0.500)
Ru (0.500, 0.000, 0.000)
B (0.500, 0.500, 0.500)
N (0.000, 0.000, 0.000)

# LaTlCd2

LaTlCd2 after structural relaxation (PBEsol, Alexandria via LeMat-Bulk).

Results
DFT formation energy: -0.321 eV/atom
Symmetry: F-43m (216)
Volume: 25.06 Å³/atom
VASP energy: -11.653 eV for the cell shown

a b c (Å): 5.215 5.214 5.214
angles (deg): 60.01 59.99 59.99
Sites, in units of the cell vectors:
Tl (0.250, 0.250, 0.250)
La (0.500, 0.500, 0.500)
Cd (0.000, 0.000, 0.000)
Cd (0.750, 0.750, 0.750)

# Cs3CdCo

Cs3CdCo after structural relaxation (PBEsol, Alexandria via LeMat-Bulk).

Results
DFT formation energy: 0.761 eV/atom
Symmetry: Pm-3m (221)
Volume: 49.88 Å³/atom
VASP energy: -7.957 eV for the cell shown

a b c (Å): 6.295 6.295 6.295
angles (deg): 90.00 90.00 90.00
Sites, in units of the cell vectors:
Cs (0.000, 0.500, 0.000)
Cs (0.000, 0.000, 0.500)
Cs (0.500, 0.000, 0.000)
Co (0.000, 0.000, 0.000)
Cd (0.500, 0.500, 0.500)

# ScRh

ScRh after structural relaxation (PBEsol, Alexandria via LeMat-Bulk).

Results
DFT formation energy: -0.754 eV/atom
Symmetry: I4_1/amd (141)
Volume: 16.40 Å³/atom
VASP energy: -32.504 eV for the cell shown

a b c (Å): 3.732 3.732 5.399
angles (deg): 110.22 110.22 90.00
Sites, in units of the cell vectors:
Rh (0.000, 0.000, 0.000)
Rh (0.250, 0.750, 0.500)
Sc (0.750, 0.250, 0.500)
Sc (0.500, 0.500, 0.000)

# AlNi2Sb

AlNi2Sb after structural relaxation (PBEsol, Alexandria via LeMat-Bulk).

Results
Symmetry: P4/mmm (123)
Volume: 14.00 Å³/atom
VASP energy: -21.919 eV for the cell shown
Raw formation energy: -1.0 eV per formula unit

a b c (Å): 3.054 3.054 6.004
angles (deg): 90.00 90.00 90.00
Sites, in units of the cell vectors:
Sb (0.500, 0.500, 0.000)
Al (0.500, 0.500, 0.500)
Ni (0.000, 0.000, 0.715)
Ni (0.000, 0.000, 0.285)

# HgTePt2

HgTePt2 after structural relaxation (PBEsol, Alexandria via LeMat-Bulk).

Results
Symmetry: P4/mmm (123)
Volume: 18.30 Å³/atom
VASP energy: -17.652 eV for the cell shown
Raw formation energy: 0.4 eV per formula unit

a b c (Å): 3.383 3.378 6.406
angles (deg): 90.00 90.00 90.00
Sites, in units of the cell vectors:
Hg (0.500, 0.500, 0.500)
Pt (0.000, 0.000, 0.749)
Pt (0.000, 0.000, 0.251)
Te (0.500, 0.500, 0.000)

# SrGa2Ir2

SrGa2Ir2 after structural relaxation (PBEsol, Alexandria via LeMat-Bulk).

Results
DFT formation energy: -0.488 eV/atom
Symmetry: I4/mmm (139)
Volume: 19.01 Å³/atom
VASP energy: -30.606 eV for the cell shown

a b c (Å): 4.272 4.272 6.021
angles (deg): 110.78 110.78 90.00
Sites, in units of the cell vectors:
Sr (0.000, 0.000, 0.000)
Ir (0.382, 0.382, 0.763)
Ir (0.618, 0.618, 0.237)
Ga (0.250, 0.750, 0.500)
Ga (0.750, 0.250, 0.500)

# Ag2HgI2

Ag2HgI2 after structural relaxation (PBEsol, Alexandria via LeMat-Bulk).

Results
Symmetry: I4/mmm (139)
Volume: 29.82 Å³/atom
VASP energy: -11.162 eV for the cell shown
Raw formation energy: -0.4 eV per formula unit

a b c (Å): 4.282 4.282 8.676
angles (deg): 104.29 104.29 90.00
Sites, in units of the cell vectors:
I (0.366, 0.366, 0.733)
I (0.634, 0.634, 0.267)
Hg (0.000, 0.000, 0.000)
Ag (0.250, 0.750, 0.500)
Ag (0.750, 0.250, 0.500)

# Be2Nb

Be2Nb after structural relaxation (PBEsol, Alexandria via LeMat-Bulk).

Results
DFT formation energy: -0.186 eV/atom
Symmetry: Fd-3m (227)
Volume: 11.42 Å³/atom
VASP energy: -38.760 eV for the cell shown

a b c (Å): 4.593 4.593 4.593
angles (deg): 60.00 60.00 60.00
Sites, in units of the cell vectors:
Be (0.125, 0.625, 0.625)
Be (0.625, 0.625, 0.625)
Be (0.625, 0.625, 0.125)
Be (0.625, 0.125, 0.625)
Nb (0.000, 0.000, 0.000)
Nb (0.250, 0.250, 0.250)

# Te2MoCl

Te2MoCl after structural relaxation (PBEsol, Alexandria via LeMat-Bulk).

Results
Symmetry: Pm (6)
Volume: 28.13 Å³/atom
VASP energy: -21.340 eV for the cell shown
Raw formation energy: -0.5 eV per formula unit

a b c (Å): 3.170 6.241 6.439
angles (deg): 117.95 90.00 90.00
Sites, in units of the cell vectors:
Mo (0.500, 0.165, 0.650)
Te (0.000, 0.129, 0.957)
Te (0.500, 0.769, 0.262)
Cl (0.000, 0.437, 0.631)

# AlTl4Tc

AlTl4Tc after structural relaxation (PBEsol, Alexandria via LeMat-Bulk).

Results
DFT formation energy: 0.998 eV/atom
Symmetry: F-43m (216)
Volume: 24.90 Å³/atom
VASP energy: -19.891 eV for the cell shown

a b c (Å): 5.956 5.956 5.956
angles (deg): 60.00 60.00 60.00
Sites, in units of the cell vectors:
Al (0.750, 0.750, 0.750)
Tc (0.000, 0.000, 0.000)
Tl (0.375, 0.375, 0.375)
Tl (0.375, 0.375, 0.876)
Tl (0.876, 0.375, 0.375)
Tl (0.375, 0.876, 0.375)

# Na3SrB5O10

Na3SrB5O10 after structural relaxation (PBEsol, Alexandria via LeMat-Bulk).

Results
Symmetry: P-1 (2)
Volume: 11.75 Å³/atom
VASP energy: -280.275 eV for the cell shown
Raw formation energy: -46.5 eV per formula unit

a b c (Å): 7.270 7.598 9.722
angles (deg): 81.05 70.62 61.79
Sites, in units of the cell vectors:
Na (0.792, 0.722, 0.550)
Na (0.208, 0.278, 0.450)
Na (0.154, 0.497, 0.836)
Na (0.846, 0.503, 0.164)
Na (0.722, 0.984, 0.885)
Na (0.278, 0.016, 0.115)
Sr (0.787, 0.053, 0.223)
Sr (0.213, 0.947, 0.777)
B (0.839, 0.249, 0.452)
B (0.161, 0.751, 0.548)
B (0.862, 0.322, 0.918)
B (0.138, 0.678, 0.082)
B (0.509, 0.226, 0.622)
B (0.491, 0.774, 0.378)
B (0.614, 0.663, 0.863)
B (0.386, 0.337, 0.137)
B (0.699, 0.374, 0.711)
B (0.301, 0.626, 0.289)
O (0.832, 0.249, 0.809)
O (0.336, 0.194, 0.645)
O (0.013, 0.798, 0.999)
O (0.987, 0.202, 0.001)
O (0.664, 0.806, 0.355)
O (0.842, 0.349, 0.559)
O (0.406, 0.413, 0.250)
O (0.594, 0.587, 0.750)
O (0.470, 0.687, 0.271)
O (0.530, 0.313, 0.729)
O (0.320, 0.823, 0.512)
O (0.680, 0.177, 0.488)
O (0.505, 0.144, 0.104)
O (0.495, 0.856, 0.896)
O (0.233, 0.470, 0.064)
O (0.767, 0.530, 0.936)
O (0.023, 0.779, 0.683)
O (0.977, 0.221, 0.317)
O (0.158, 0.651, 0.441)
O (0.168, 0.751, 0.191)

# As2PtPb

As2PtPb after structural relaxation (PBEsol, Alexandria via LeMat-Bulk).

Results
DFT formation energy: 0.270 eV/atom
Symmetry: Pmmm (47)
Volume: 19.64 Å³/atom
VASP energy: -20.093 eV for the cell shown

a b c (Å): 3.571 4.648 4.733
angles (deg): 90.00 90.00 90.00
Sites, in units of the cell vectors:
Pb (0.500, 0.500, 0.000)
As (0.000, 0.000, 0.000)
As (0.500, 0.000, 0.500)
Pt (0.000, 0.500, 0.500)

# Cu3AsOs

Cu3AsOs after structural relaxation (PBEsol, Alexandria via LeMat-Bulk).

Results
DFT formation energy: 1.327 eV/atom
Symmetry: Pm-3m (221)
Volume: 15.91 Å³/atom
VASP energy: -23.688 eV for the cell shown

a b c (Å): 4.301 4.301 4.301
angles (deg): 90.00 90.00 90.00
Sites, in units of the cell vectors:
As (0.000, 0.000, 0.000)
Os (0.500, 0.500, 0.500)
Cu (0.000, 0.500, 0.000)
Cu (0.000, 0.000, 0.500)
Cu (0.500, 0.000, 0.000)